This record from OQMD via LeMat-Bulk describes crystalline NaZr2 at its relaxed geometry. The functional is PBE.

Output
Total magnetization in μB per cell: 0.006
Energy in Ry/atom: -0.4113

a b c (Å): 5.5487 5.5487 5.3520
angles (deg): 90.00 90.00 120.00
Space group P-62m (No. 189)
Asymmetric unit:
Na: 0.3333 0.6667 0.0000 x2
Zr: 0.0000 0.0000 0.0000 x1
Zr: 0.0000 0.3153 0.5000 x3